A relaxed structure of MnSbHRh2, computed with PBE-GGA.

Properties
Polymorph energy (0 for the lowest one) ... 0 meV/atom
Raw total energy ... -6.47 eV/atom
Total magnetization ... 3.80 μB/cell

```
data_MnSbHRh2
_cell_length_a 4.049
_cell_length_b 4.049
_cell_length_c 3.942
_cell_angle_alpha 90.00
_cell_angle_beta 90.00
_cell_angle_gamma 90.00
_space_group_name_H-M_alt 'P 4/m m m'
_space_group_IT_number 123
_space_group_name_Hall '-P 4 2'
loop_
_atom_site_label
_atom_site_type_symbol
_atom_site_fract_x
_atom_site_fract_y
_atom_site_fract_z
Mn1 Mn 0.000 0.000 0.000
Sb1 Sb 0.500 0.500 0.000
H1 H 0.000 0.000 0.500
Rh1 Rh 0.000 0.500 0.500
```